# LiDyHo2In4

An optimized crystal structure of LiDyHo2In4 (PBE-GGA, the Alexandria database).

## Properties
**N(E_F)**: 0.49 states/eV/atom
**Energy relative to the elements**: -3.314 eV per formula unit
**Calculated total energy**: -29.94 eV per cell

Cell lengths 9.1583, 9.1583, 9.1583 Å; angles 32.91, 32.91, 32.91 degrees
Sites, in units of the cell vectors:
Li: 0.0000 0.0000 0.0000
Dy: 0.5000 0.5000 0.5000
Ho: 0.2535 0.2535 0.2535
Ho: 0.7465 0.7465 0.7465
In: 0.1227 0.1227 0.1227
In: 0.3733 0.3733 0.3733
In: 0.6267 0.6267 0.6267
In: 0.8773 0.8773 0.8773